[1]
HoPb5: optimized geometry, PBE.

abc: 6.0444 10.6015 5.9576
angles: 90.00 108.97 90.00
Space group C2/m (No. 12)
Asymmetric unit:
1 Ho 0.0000 0.0000 0.0000 [2 per cell]
2 Pb 0.0000 0.1605 0.5000 [4 per cell]
3 Pb 0.0000 0.3286 0.0000 [4 per cell]
4 Pb 0.0000 0.5000 0.5000 [2 per cell]

Calculated values
Energy above the most stable polymorph in this dataset   26 meV/atom
Formation energy from the elements   -0.11 eV/atom


[2]
Mg2AlPt: optimized geometry, PBE.

abc: 3.0108 3.9168 5.7966
angles: 90.00 90.00 90.00
Space group Pmmm (No. 47)
Asymmetric unit:
1 Mg 0.0000 0.0000 0.2367 [2 per cell]
2 Al 0.5000 0.5000 0.5000 [1 per cell]
3 Pt 0.5000 0.5000 0.0000 [1 per cell]

Calculated values
Formation energy from the elements   -0.47 eV/atom


[3]
SrS2Cl: optimized geometry, PBE.

abc: 4.9649 4.9649 13.6828
angles: 90.00 90.00 120.00
Space group R-3m (No. 166, hexagonal axes)
Asymmetric unit:
1 Sr 0.0000 0.0000 0.0000 [3 per cell]
2 S 0.0000 0.0000 0.2068 [6 per cell]
3 Cl 0.0000 0.0000 0.5000 [3 per cell]

Calculated values
Formation energy (no corrections)   -0.46 eV per atom
Energy above the most stable polymorph in this dataset   713 meV/atom


[4]
MgAs4Pt: optimized geometry, PBE.

abc: 7.7649 7.7649 7.7649
angles: 90.00 90.00 90.00
Space group F-43m (No. 216)
Asymmetric unit:
1 Mg 0.0000 0.0000 0.0000 [4 per cell]
2 As 0.1246 0.1246 0.3754 [16 per cell]
3 Pt 0.2500 0.2500 0.7500 [4 per cell]

Calculated values
Formation energy from the elements   0.35 eV/atom


[5]
Er2AlGa3Pt4: optimized geometry, PBE.

abc: 4.0760 4.0760 11.0836
angles: 90.00 90.00 90.00
Space group P-4m2 (No. 115)
Asymmetric unit:
1 Er 0.0000 0.5000 0.2485 [2 per cell]
2 Al 0.0000 0.0000 0.5000 [1 per cell]
3 Ga 0.0000 0.5000 0.8640 [2 per cell]
4 Ga 0.5000 0.5000 0.5000 [1 per cell]
5 Pt 0.0000 0.0000 0.0000 [1 per cell]
6 Pt 0.0000 0.5000 0.6404 [2 per cell]
7 Pt 0.5000 0.5000 0.0000 [1 per cell]

Calculated values
Formation energy from the elements   -0.99 eV/atom


[6]
NaAlBr2: optimized geometry, PBE.

abc: 7.5783 7.5783 7.5783
angles: 90.00 90.00 90.00
Space group Fm-3m (No. 225)
Asymmetric unit:
1 Na 0.0000 0.0000 0.0000 [4 per cell]
2 Al 0.0000 0.0000 0.5000 [4 per cell]
3 Br 0.2500 0.2500 0.2500 [8 per cell]

Calculated values
Formation energy (no corrections)   -0.72 eV per atom
Energy above the most stable polymorph in this dataset   31 meV/atom


Taking the records one at a time from the top gives VASP energy values of -3.962 -3.709 -3.410 -4.027 -5.605 -2.821 eV/atom.